(1)
Computed, not measured: a relaxed structure of Cd2CoRh at the PBE level of DFT.

extended XYZ file:
```
4
Lattice="4.1195 0.0000 0.0000 0.0000 4.1214 0.0000 0.0000 0.0000 3.8532" Properties=species:S:1:pos:R:3 pbc="T T T"
Cd 2.0598 2.0607 0.0000
Cd 0.0000 0.0000 0.0000
Co 2.0598 0.0000 1.9266
Rh 0.0000 2.0607 1.9266
```

Computed properties:
Crystal system: tetragonal
Energy relative to the elements (eV/atom): 0.158
Total energy (eV/atom): -3.9138
Space-group type: P4/mmm (123)

=====

(2)
Computed, not measured: a relaxed structure of TlGeSe2O8 at the PBE level of DFT.

extended XYZ file:
```
12
Lattice="-3.7200 3.4263 0.7979 -2.2775 -0.4407 4.5644 5.1450 5.5664 3.7446" Properties=species:S:1:pos:R:3 pbc="T T T"
O -2.5948 3.4683 2.4332
O -1.8565 1.4890 4.3611
O 1.0040 7.0631 4.7457
O -4.4290 2.5057 4.2688
O 3.5765 6.0463 4.8380
O -2.2445 4.1326 5.1025
O 1.7423 5.0837 6.6736
O 1.3920 4.4194 4.0043
Ge 0.0000 0.0000 0.0000
Tl 2.5725 2.7832 1.8723
Se 1.9374 5.6083 5.0160
Se -2.7900 2.9437 4.0908
```

Computed properties:
Crystal system: monoclinic
Energy relative to the elements, uncorrected (eV per formula unit): -9.20
Total energy (eV/atom): -5.2352
Space-group type: C2/m (12)